Record 1
DFT (GGA-PBE) results for crystalline La2CdIr at its relaxed geometry.

a b c (Å): 3.878 3.906 16.338
angles (deg): 90.00 90.00 90.00
Space group Immm (No. 71)
Unique sites:
1 La 0.000 0.000 0.160 [4 per cell]
2 Cd 0.000 0.000 0.500 [2 per cell]
3 Ir 0.000 0.000 0.000 [2 per cell]

Computed properties:
The calculation puts the energy of formation from the pure elements at -0.089 eV per atom.

***

Record 2
DFT (GGA-PBE) results for crystalline Pr2Ni3Sn4Au at its relaxed geometry.

a b c (Å): 4.520 4.520 10.421
angles (deg): 90.00 90.00 90.00
Space group P-4m2 (No. 115)
Unique sites:
1 Pr 0.000 0.500 0.247 [2 per cell]
2 Ni 0.000 0.000 0.000 [1 per cell]
3 Ni 0.000 0.500 0.618 [2 per cell]
4 Sn 0.000 0.000 0.500 [1 per cell]
5 Sn 0.000 0.500 0.858 [2 per cell]
6 Sn 0.500 0.500 0.500 [1 per cell]
7 Au 0.500 0.500 0.000 [1 per cell]

Computed properties:
The calculation puts the energy of formation from the pure elements at -0.547 eV per atom.

***

Record 3
DFT (GGA-PBE) results for crystalline Ce12PRu6 at its relaxed geometry.

a b c (Å): 11.9055 11.9055 12.4023
angles (deg): 90.00 90.00 120.00
Space group R-3 (No. 148, hexagonal axes)
Unique sites:
1 Ce 0.0031 0.8205 0.3836 [18 per cell]
2 Ce 0.0041 0.8134 0.8678 [18 per cell]
3 P 0.0000 0.0000 0.0000 [3 per cell]
4 Ru 0.0270 0.7597 0.6308 [18 per cell]

Computed properties:
The calculation puts the energy of formation from the pure elements at -0.268 eV per atom.